Entry from the Alexandria database: a crystal of TaAgCl2 relaxed with PBEsol (SCAN).

- formation energy without anion corrections (kJ/mol of atoms) = -13.0
- M_tot (μB per atom) = 0.00
- final energy (eV per atom) = -28.61

Lattice parameters (Å, degrees): 3.1089 3.1089 31.6516 90.00 90.00 120.00
Space group R-3m (No. 166, hexagonal axes)
Asymmetric unit:
Ta  0.0000  0.0000  0.0000 (multiplicity 3)
Ag  0.0000  0.0000  0.5000 (multiplicity 3)
Cl  0.0000  0.0000  0.0714 (multiplicity 6)